# 1
Below is a geometry-optimized Ni4Pd15Pt structure, with properties calculated at the PBE-GGA level.

Cell and atoms, written as POSCAR:
```
Ni4Pd15Pt
1.0
-2.0278 2.8999 1.6110
-1.4023 -2.4605 2.6639
15.0157 4.0375 11.6334
Pd Ni Pt
15 4 1
Direct
0.5000 0.5000 0.0000
0.5000 0.0000 0.8952
0.0000 0.5000 0.5000
0.5000 0.5000 0.7964
0.5000 0.0000 0.6978
0.0000 0.5000 0.6978
0.0000 0.5000 0.8952
0.0000 0.5000 0.1048
0.0000 0.5000 0.3022
0.5000 0.5000 0.4010
0.5000 0.5000 0.2036
0.5000 0.0000 0.5000
0.5000 0.0000 0.3022
0.5000 0.5000 0.5990
0.5000 0.0000 0.1048
0.0000 0.0000 0.2030
0.0000 0.0000 0.4011
0.0000 0.0000 0.7970
0.0000 0.0000 0.5989
0.0000 0.0000 0.0000
```

size of the total moment = 8.5 μB per formula unit
crystal system = tetragonal
energy relative to the elements = 0.02 eV per atom
calculated volume = 14.68 Å³/atom

=====

# 2
Below is a geometry-optimized TcSnO2F structure, with properties calculated at the PBE-GGA level.

Cell and atoms, written as POSCAR:
```
TcSnO2F
1.0
-2.5775 -2.6521 -1.8292
1.4668 -3.0517 2.3577
-2.9938 0.8585 2.9738
Sn Tc O F
1 1 2 1
Direct
0.0000 0.0000 0.0000
0.5000 0.5000 0.5000
0.0000 0.5000 0.0000
0.5000 0.0000 0.0000
0.0000 0.0000 0.5000
```

energy relative to the elements, uncorrected = -503 meV per atom
size of the total moment = 4.5 μB per formula unit
crystal system = tetragonal
calculated volume = 14.66 Å³/atom

=====

# 3
Below is a geometry-optimized Y3SiW structure, with properties calculated at the PBE-GGA level.

Cell and atoms, written as POSCAR:
```
Y3SiW
1.0
-2.1996 -3.6270 3.2067
4.8365 -1.4902 1.6320
-0.2145 3.5917 3.9153
Y W Si
3 1 1
Direct
0.0000 0.5000 0.0000
0.5000 0.0000 0.0000
0.0000 0.0000 0.5000
0.5000 0.5000 0.5000
0.0000 0.0000 0.0000
```

energy relative to the elements, uncorrected = 788 meV per atom
size of the total moment = 3.2 μB per formula unit
crystal system = cubic
calculated volume = 30.07 Å³/atom

=====

# 4
Below is a geometry-optimized Mg3Si4 structure, with properties calculated at the PBE-GGA level.

Cell and atoms, written as POSCAR:
```
Mg3Si4
1.0
-2.1541 2.4019 2.3232
-5.9255 -5.4787 0.1701
1.0813 -5.2881 6.4698
Si Mg
8 6
Direct
0.7500 0.2676 0.7990
0.2500 0.4973 0.7532
0.7500 0.1748 0.3464
0.2500 0.8252 0.6536
0.7500 0.5027 0.2468
0.2500 0.7324 0.2010
0.7500 0.0428 0.6497
0.2500 0.9572 0.3503
0.2500 0.3324 0.5073
0.2500 0.3307 0.0976
0.7500 0.9957 0.1242
0.7500 0.6693 0.9024
0.7500 0.6676 0.4927
0.2500 0.0043 0.8758
```

energy relative to the elements, uncorrected = 111 meV per atom
size of the total moment = 0.0 μB per formula unit
crystal system = monoclinic
energy relative to the lowest polymorph listed for this composition = 58.6 meV per atom
calculated volume = 18.11 Å³/atom

=====

# 5
Below is a geometry-optimized NaLi2RuBr structure, with properties calculated at the PBE-GGA level.

Cell and atoms, written as POSCAR:
```
NaLi2RuBr
1.0
5.1504 0.0000 0.0000
0.0000 4.9707 0.0000
0.0000 0.0000 5.1504
Li Na Ru Br
2 1 1 1
Direct
0.5000 0.0000 0.0000
0.0000 0.0000 0.5000
0.0000 0.0000 0.0000
0.0000 0.5000 0.0000
0.5000 0.5000 0.5000
```

energy relative to the elements, uncorrected = 856 meV per atom
size of the total moment = 2.1 μB per formula unit
crystal system = tetragonal
calculated volume = 26.37 Å³/atom

=====

# 6
Below is a geometry-optimized InHN3 structure, with properties calculated at the PBE-GGA level.

Cell and atoms, written as POSCAR:
```
InHN3
1.0
-0.7116 -2.0066 -2.7590
1.6210 -2.6788 1.5301
-3.0018 -0.9709 1.4803
In N H
1 3 1
Direct
0.5000 0.5000 0.5000
0.5000 0.0000 0.0000
0.0000 0.0000 0.5000
0.0000 0.5000 0.0000
0.0000 0.0000 0.0000
```

size of the total moment = 0.0 μB per formula unit
crystal system = cubic
total DFT energy (no corrections) = -4.017 eV/atom
calculated volume = 8.46 Å³/atom